No. 1
DFT (GGA-PBE) results for a geometry-optimized CeZn3Ga4 structure.

```
CeZn3Ga4
1.0
-2.624 -2.319 -2.671
0.474 -3.526 2.596
-6.169 2.216 4.137
Ga Zn Ce
4 3 1
Direct
0.000 0.500 0.179 Ga
0.500 0.000 0.179 Ga
0.500 0.000 0.821 Ga
0.000 0.500 0.821 Ga
0.000 0.000 0.000 Zn
0.500 0.500 0.347 Zn
0.500 0.500 0.653 Zn
0.000 0.000 0.500 Ce
```

Calculated values
Density of states at the Fermi level in states/eV per cell: 6.93
Energy relative to the elements in eV per atom: -0.263

No. 2
DFT (GGA-PBE) results for a geometry-optimized TlHg3 structure.

```
TlHg3
1.0
-5.600 -8.533 -3.399
-3.546 -8.015 -6.238
-2.334 -9.902 -3.497
Hg Tl
3 1
Direct
0.247 0.247 0.247 Hg
0.753 0.753 0.753 Hg
0.500 0.500 0.500 Hg
0.000 0.000 0.000 Tl
```

Calculated values
Density of states at the Fermi level in states/eV per cell: 1.07
Energy relative to the elements in eV per atom: -0.013

No. 3
DFT (GGA-PBE) results for a geometry-optimized LaZnN2 structure.

```
LaZnN2
1.0
2.252 0.000 5.922
-1.126 1.950 5.922
-1.126 -1.950 5.922
Zn N La
1 2 1
Direct
0.000 0.000 0.000 Zn
0.102 0.102 0.102 N
0.898 0.898 0.898 N
0.500 0.500 0.500 La
```

Calculated values
Density of states at the Fermi level in states/eV per cell: 2.38
Uncorrected formation energy in eV per formula unit: -1.5

Q: Which of these has the lowest density of states at the Fermi level?
A: TlHg3